MnTl2W3O12 | PBE+U | relaxed

- Calculated volume: 273.5 Å³/cell
- E_tot: -6.898 eV/atom

Lattice parameters (Å, degrees): 7.215 7.215 7.215 61.32 61.32 61.32
Atoms (fractional coordinates):
Mn: 0.000 0.000 0.000
Tl: 0.357 0.357 0.357
Tl: 0.643 0.643 0.643
W: 0.000 0.000 0.500
W: 0.000 0.500 0.000
W: 0.500 0.000 0.000
O: 0.057 0.685 0.685
O: 0.060 0.060 0.691
O: 0.060 0.691 0.060
O: 0.309 0.940 0.940
O: 0.315 0.315 0.943
O: 0.315 0.943 0.315
O: 0.685 0.057 0.685
O: 0.685 0.685 0.057
O: 0.691 0.060 0.060
O: 0.940 0.309 0.940
O: 0.940 0.940 0.309
O: 0.943 0.315 0.315